(1)
Computed, not measured: Tb2YTe2 after structural relaxation at the PBE level of DFT.

- ΔE_f (raw): -0.960 eV/atom
- Crystal system: monoclinic
- D(E_F): 3.93 states/eV/f.u.

Cell lengths 6.0096, 7.3276, 8.3520 Å; angles 109.16, 90.00, 114.21 degrees
Closest atoms and distances in Å follow each position.
Element x y z (fractional)
1 Y 0.6790 0.3580 0.0676  3 Te 3.07-3.11
2 Tb 0.0342 0.0683 0.7982  4 Te 3.07-3.15
3 Te 0.4801 0.9603 0.7369  2 Y 3.07-3.11, 4 Tb 3.09-3.18
4 Y 0.3210 0.6420 0.9324  3 Te 3.07-3.11
5 Te 0.5199 0.0397 0.2631  2 Y 3.07-3.11, 4 Tb 3.09-3.18
6 Tb 0.9658 0.9317 0.2018  4 Te 3.07-3.15
7 Tb 0.3147 0.6294 0.3526  5 Te 3.09-3.18
8 Te 0.1602 0.3205 0.5548  5 Tb 3.07-3.15, 1 Y 3.11
9 Tb 0.6853 0.3706 0.6474  5 Te 3.09-3.18
10 Te 0.8398 0.6795 0.4452  5 Tb 3.07-3.15, 1 Y 3.11

***

(2)
Computed, not measured: TbY2Te3 after structural relaxation at the PBE level of DFT.

- ΔE_f (raw): -1.309 eV/atom
- Crystal system: orthorhombic
- D(E_F): 3.06 states/eV/f.u.

Cell lengths 4.3904, 6.1589, 7.5518 Å; angles 114.07, 106.90, 90.00 degrees
Closest atoms and distances in Å follow each position.
Element x y z (fractional)
1 Te 0.1672 0.6672 0.8344  4 Y 3.08-3.09, 2 Tb 3.10
2 Y 0.8339 0.8339 0.1677  6 Te 3.08-3.09
3 Te 0.8328 0.3328 0.1656  4 Y 3.08-3.09, 2 Tb 3.10
4 Te 0.5000 0.0000 0.5000  2 Tb 3.08, 4 Y 3.09
5 Tb 0.5000 0.5000 0.5000  6 Te 3.08-3.10
6 Y 0.1661 0.1661 0.8323  6 Te 3.08-3.09

***

(3)
Computed, not measured: TbYTe3 after structural relaxation at the PBE level of DFT.

- ΔE_f (raw): -1.374 eV/atom
- Crystal system: orthorhombic
- D(E_F): 0.18 states/eV/f.u.
- Polymorph energy (0 for the lowest one): 4 meV per atom

Cell lengths 4.2378, 7.4126, 10.7839 Å; angles 90.00, 90.00, 106.61 degrees
Closest atoms and distances in Å follow each position.
Element x y z (fractional)
1 Te 0.6483 0.2967 0.4328  2 Y 3.08, 2 Tb 3.21
2 Tb 0.2465 0.4930 0.2500  6 Te 3.08-3.21
3 Tb 0.7535 0.5070 0.7500  6 Te 3.08-3.21
4 Te 0.6483 0.2967 0.0672  2 Y 3.08, 2 Tb 3.21
5 Te 0.9036 0.8071 0.2500  2 Y 3.02, 2 Tb 3.08
6 Te 0.3517 0.7033 0.5672  2 Y 3.08, 2 Tb 3.21
7 Y 0.0000 0.0000 0.5000  6 Te 3.02-3.08
8 Te 0.3517 0.7033 0.9328  2 Y 3.08, 2 Tb 3.21
9 Te 0.0964 0.1929 0.7500  2 Y 3.02, 2 Tb 3.08
10 Y 0.0000 0.0000 0.0000  6 Te 3.02-3.08

***

(4)
Computed, not measured: Tb5YTe4 after structural relaxation at the PBE level of DFT.

- ΔE_f (raw): -0.932 eV/atom
- Crystal system: monoclinic
- D(E_F): 8.41 states/eV/f.u.

Cell lengths 4.1752, 8.5283, 9.3920 Å; angles 102.05, 102.84, 90.00 degrees
Closest atoms and distances in Å follow each position.
Element x y z (fractional)
1 Tb 0.8122 0.6414 0.6245  3 Te 3.16-3.20
2 Tb 0.1878 0.3586 0.3755  3 Te 3.16-3.20
3 Te 0.9885 0.7448 0.9771  2 Y 2.99, 4 Tb 2.99-3.16
4 Te 0.3321 0.9324 0.6642  1 Y 3.00, 5 Tb 3.06-3.20
5 Tb 0.1638 0.7899 0.3275  4 Te 3.06-3.15
6 Tb 0.5000 0.5000 0.0000  4 Te 2.99
7 Te 0.6679 0.0676 0.3358  1 Y 3.00, 5 Tb 3.06-3.20
8 Te 0.0115 0.2552 0.0229  2 Y 2.99, 4 Tb 2.99-3.16
9 Y 0.5000 0.0000 0.0000  6 Te 2.99-3.00
10 Tb 0.8362 0.2101 0.6725  4 Te 3.06-3.15

***

(5)
Computed, not measured: TbY3Te3 after structural relaxation at the PBE level of DFT.

- ΔE_f (raw): -1.042 eV/atom
- Crystal system: trigonal
- D(E_F): 6.21 states/eV/f.u.

Cell lengths 8.9956, 8.9956, 7.8808 Å; angles 55.20, 55.20, 60.00 degrees
Closest atoms and distances in Å follow each position.
Element x y z (fractional)
1 Te 0.3194 0.8988 0.2437  5 Y 3.04-3.28, 2 Tb 3.11-3.20
2 Y 0.0780 0.8436 0.7438  5 Te 3.04-3.28
3 Y 0.9220 0.1564 0.2562  5 Te 3.04-3.28
4 Tb 0.3119 0.3119 0.0643  6 Te 3.11-3.20
5 Y 0.3347 0.0780 0.7438  5 Te 3.04-3.28
6 Te 0.8988 0.5382 0.2437  5 Y 3.04-3.28, 2 Tb 3.11-3.20
7 Tb 0.6881 0.6881 0.9357  6 Te 3.11-3.20
8 Te 0.4618 0.6806 0.7563  5 Y 3.04-3.28, 2 Tb 3.11-3.20
9 Te 0.1012 0.4618 0.7563  5 Y 3.04-3.28, 2 Tb 3.11-3.20
10 Y 0.8436 0.3347 0.7438  5 Te 3.04-3.28
11 Y 0.6653 0.9220 0.2562  5 Te 3.04-3.28
12 Te 0.6806 0.1012 0.7563  5 Y 3.04-3.28, 2 Tb 3.11-3.20
13 Te 0.5382 0.3194 0.2437  5 Y 3.04-3.28, 2 Tb 3.11-3.20
14 Y 0.1564 0.6653 0.2562  5 Te 3.04-3.28

***

(6)
Computed, not measured: Tb3YTe4 after structural relaxation at the PBE level of DFT.

- ΔE_f (raw): -1.309 eV/atom
- Crystal system: orthorhombic
- D(E_F): 5.00 states/eV/f.u.

Cell lengths 4.3236, 7.5989, 7.5989 Å; angles 108.90, 90.00, 90.00 degrees
Closest atoms and distances in Å follow each position.
Element x y z (fractional)
1 Tb 0.0000 0.0000 0.5000  6 Te 3.09
2 Te 0.5000 0.2497 0.7503  1 Y 3.09, 5 Tb 3.09
3 Te 0.5000 0.7503 0.2497  1 Y 3.09, 5 Tb 3.09
4 Y 0.5000 0.0000 0.0000  6 Te 3.09
5 Tb 0.5000 0.5000 0.5000  6 Te 3.09
6 Te 0.0000 0.7504 0.7504  2 Y 3.09, 4 Tb 3.09
7 Te 0.0000 0.2496 0.2496  2 Y 3.09, 4 Tb 3.09
8 Tb 0.0000 0.5000 0.0000  6 Te 3.09

***

(7)
Computed, not measured: TbY3Te6 after structural relaxation at the PBE level of DFT.

- ΔE_f (raw): -1.382 eV/atom
- Crystal system: trigonal
- Polymorph energy (0 for the lowest one): 11 meV per atom

Cell lengths 7.7056, 7.7056, 8.3249 Å; angles 62.43, 62.43, 60.00 degrees
Closest atoms and distances in Å follow each position.
Element x y z (fractional)
1 Te 0.4354 0.7505 0.7506  3 Y 3.07-3.11, 1 Tb 3.12
2 Tb 0.8430 0.8430 0.4709  6 Te 3.08-3.12
3 Te 0.2508 0.9363 0.2498  3 Y 3.07-3.11, 1 Tb 3.08
4 Y 0.6571 0.6571 0.0286  6 Te 3.07-3.11
5 Te 0.0635 0.4354 0.7506  3 Y 3.07-3.11, 1 Tb 3.12
6 Te 0.9363 0.5631 0.2498  3 Y 3.07-3.11, 1 Tb 3.08
7 Y 0.1572 0.1572 0.5285  6 Te 3.07-3.11
8 Y 0.3430 0.3430 0.9710  6 Te 3.07-3.11
9 Te 0.5631 0.2508 0.2498  3 Y 3.07-3.11, 1 Tb 3.08
10 Te 0.7505 0.0635 0.7506  3 Y 3.07-3.11, 1 Tb 3.12

***

(8)
Computed, not measured: TbYTe3 after structural relaxation at the PBE level of DFT.

- ΔE_f (raw): -1.378 eV/atom
- Crystal system: trigonal
- Polymorph energy (0 for the lowest one): 0 meV per atom

Cell lengths 7.7104, 7.7104, 8.3349 Å; angles 62.45, 62.45, 60.00 degrees
Closest atoms and distances in Å follow each position.
Element x y z (fractional)
1 Te 0.5640 0.2489 0.2502  2 Y 3.07-3.11, 2 Tb 3.08-3.12
2 Te 0.7511 0.0631 0.7498  2 Y 3.07-3.11, 2 Tb 3.08-3.12
3 Te 0.4360 0.7511 0.7498  2 Y 3.07-3.11, 2 Tb 3.08-3.12
4 Y 0.8428 0.8428 0.4717  6 Te 3.07-3.11
5 Y 0.1572 0.1572 0.5283  6 Te 3.07-3.11
6 Te 0.2489 0.9369 0.2502  2 Y 3.07-3.11, 2 Tb 3.08-3.12
7 Te 0.9369 0.5640 0.2502  2 Y 3.07-3.11, 2 Tb 3.08-3.12
8 Te 0.0631 0.4360 0.7498  2 Y 3.07-3.11, 2 Tb 3.08-3.12
9 Tb 0.6568 0.6568 0.0296  6 Te 3.08-3.12
10 Tb 0.3432 0.3432 0.9704  6 Te 3.08-3.12